(1)
The following is a GGA-PBE calculation of a relaxed structure of La2BeTc, from Alexandria.

Structure (POSCAR):
```
La2BeTc
1.0
3.614 0.000 0.000
-1.777 6.774 0.000
-0.016 -1.743 7.506
La Be Tc
4 2 2
direct
0.000 0.000 0.000
0.000 0.000 0.500
0.291 0.580 0.193
0.709 0.420 0.807
0.209 0.417 0.491
0.791 0.583 0.509
0.367 0.735 0.702
0.633 0.265 0.298
```

Values from the calculation:
Energy relative to the elements, kJ/mol of formula units: 16
Space-group type: P-1



(2)
The following is a GGA-PBE calculation of a relaxed structure of La2BeTc, from Alexandria.

Structure (POSCAR):
```
La2BeTc
1.0
-1.819 2.412 5.055
1.819 -2.412 5.055
1.819 2.412 -5.055
La Be Tc
2 1 1
direct
0.000 0.000 0.000
0.706 0.206 0.500
0.423 0.423 0.000
0.284 0.784 0.500
```

Values from the calculation:
Energy relative to the elements, kJ/mol of formula units: 44
Space-group type: Imm2



(3)
The following is a GGA-PBE calculation of a relaxed structure of La2BeTc, from Alexandria.

Structure (POSCAR):
```
La2BeTc
1.0
3.554 -2.049 0.000
3.554 2.049 0.000
-2.423 0.000 7.387
La Be Tc
2 1 1
direct
0.000 0.000 0.000
0.174 0.174 0.510
0.420 0.420 0.254
0.754 0.754 0.258
```

Values from the calculation:
Energy relative to the elements, kJ/mol of formula units: -10
Space-group type: Cm



(4)
The following is a GGA-PBE calculation of a relaxed structure of La2BeTc, from Alexandria.

Structure (POSCAR):
```
La2BeTc
1.0
1.840 1.062 8.567
-1.840 1.062 8.567
0.000 -2.125 8.567
La Be Tc
2 1 1
direct
0.246 0.246 0.246
0.754 0.754 0.754
0.000 0.000 0.000
0.500 0.500 0.500
```

Values from the calculation:
Energy relative to the elements, kJ/mol of formula units: 218
Space-group type: R-3m



(5)
The following is a GGA-PBE calculation of a relaxed structure of LaBeTc2, from Alexandria.

Structure (POSCAR):
```
LaBeTc2
1.0
2.683 -3.248 0.000
2.683 3.248 0.000
0.000 0.000 4.206
La Be Tc
1 1 2
direct
0.000 0.000 0.000
0.500 0.500 0.000
0.322 0.678 0.500
0.678 0.322 0.500
```

Values from the calculation:
Energy relative to the elements, kJ/mol of formula units: 120
Space-group type: Cmmm



(6)
The following is a GGA-PBE calculation of a relaxed structure of La2BeTc, from Alexandria.

Structure (POSCAR):
```
La2BeTc
1.0
-3.986 3.986 3.012
3.986 -3.986 3.012
3.986 3.986 -3.012
La Be Tc
4 2 2
direct
0.086 0.625 0.961
0.375 0.336 0.461
0.664 0.125 0.039
0.875 0.914 0.539
0.250 0.750 0.500
0.500 0.500 0.000
0.000 0.000 0.000
0.750 0.250 0.500
```

Values from the calculation:
Energy relative to the elements, kJ/mol of formula units: 207
Space-group type: I-42d



(7)
The following is a GGA-PBE calculation of a relaxed structure of La2BeTc, from Alexandria.

Structure (POSCAR):
```
La2BeTc
1.0
6.355 0.000 0.000
0.000 3.574 0.000
0.000 0.000 8.299
La Be Tc
4 2 2
direct
0.250 0.000 0.161
0.250 0.500 0.754
0.750 0.000 0.839
0.750 0.500 0.246
0.000 0.000 0.500
0.500 0.000 0.500
0.250 0.500 0.446
0.750 0.500 0.554
```

Values from the calculation:
Energy relative to the elements, kJ/mol of formula units: -5
Space-group type: Pmma



(8)
The following is a GGA-PBE calculation of a relaxed structure of La2BeTc, from Alexandria.

Structure (POSCAR):
```
La2BeTc
1.0
3.521 0.000 0.000
-1.570 7.065 0.000
-0.152 -0.447 7.592
La Be Tc
4 2 2
direct
0.212 0.404 0.172
0.233 0.082 0.744
0.767 0.918 0.256
0.788 0.596 0.828
0.217 0.432 0.546
0.783 0.568 0.454
0.391 0.781 0.542
0.609 0.219 0.458
```

Values from the calculation:
Energy relative to the elements, kJ/mol of formula units: 4
Space-group type: P-1



(9)
The following is a GGA-PBE calculation of a relaxed structure of La4BeTc, from Alexandria.

Structure (POSCAR):
```
La4BeTc
1.0
0.000 4.377 4.377
4.377 0.000 4.377
4.377 4.377 0.000
La Be Tc
4 1 1
direct
0.124 0.124 0.124
0.124 0.124 0.627
0.124 0.627 0.124
0.627 0.124 0.124
0.500 0.500 0.500
0.750 0.750 0.750
```

Values from the calculation:
Energy relative to the elements, kJ/mol of formula units: 625
Space-group type: F-43m



(10)
The following is a GGA-PBE calculation of a relaxed structure of La2BeTc, from Alexandria.

Structure (POSCAR):
```
La2BeTc
1.0
-2.226 2.226 4.334
2.226 -2.226 4.334
2.226 2.226 -4.334
La Be Tc
2 1 1
direct
0.000 0.000 0.000
0.750 0.250 0.500
0.500 0.500 0.000
0.250 0.750 0.500
```

Values from the calculation:
Energy relative to the elements, kJ/mol of formula units: 148
Space-group type: I-4m2



(11)
The following is a GGA-PBE calculation of a relaxed structure of LaBeTc2, from Alexandria.

Structure (POSCAR):
```
LaBeTc2
1.0
2.905 -4.453 0.000
2.905 4.453 0.000
0.000 0.000 2.670
La Be Tc
1 1 2
direct
0.000 0.000 0.000
0.500 0.500 0.000
0.000 0.500 0.500
0.500 0.000 0.500
```

Values from the calculation:
Energy relative to the elements, kJ/mol of formula units: 307
Space-group type: Cmmm



(12)
The following is a GGA-PBE calculation of a relaxed structure of LaBeTc4, from Alexandria.

Structure (POSCAR):
```
LaBeTc4
1.0
0.000 3.760 3.760
3.760 0.000 3.760
3.760 3.760 0.000
La Be Tc
1 1 4
direct
0.000 0.000 0.000
0.750 0.750 0.750
0.376 0.376 0.376
0.376 0.376 0.872
0.376 0.872 0.376
0.872 0.376 0.376
```

Values from the calculation:
Energy relative to the elements, kJ/mol of formula units: 266
Space-group type: F-43m



(13)
The following is a GGA-PBE calculation of a relaxed structure of LaBeTc2, from Alexandria.

Structure (POSCAR):
```
LaBeTc2
1.0
3.445 0.000 0.000
0.000 4.423 0.000
0.000 0.000 4.554
La Be Tc
1 1 2
direct
0.000 0.000 0.000
0.500 0.000 0.500
0.000 0.500 0.500
0.500 0.500 0.000
```

Values from the calculation:
Energy relative to the elements, kJ/mol of formula units: 239
Space-group type: Pmmm



(14)
The following is a GGA-PBE calculation of a relaxed structure of LaBe2Tc2, from Alexandria.

Structure (POSCAR):
```
LaBe2Tc2
1.0
-2.154 2.154 4.452
2.154 -2.154 4.452
2.154 2.154 -4.452
La Be Tc
1 2 2
direct
0.000 0.000 0.000
0.250 0.750 0.500
0.750 0.250 0.500
0.365 0.365 0.000
0.635 0.635 0.000
```

Values from the calculation:
Energy relative to the elements, kJ/mol of formula units: 56
Space-group type: I4/mmm



no.,total magnetization (μB/cell)
1,0.00
2,0.00
3,0.00
4,0.35
5,0.00
6,0.00
7,0.00
8,0.00
9,0.03
10,0.00
11,0.00
12,0.02
13,0.00
14,0.00